Entry 1:
This record from the Alexandria database describes Ba6SbSe3I2 after structural relaxation. The functional is PBE.

Output
E_form (uncorrected)   -1720 meV per atom

Cell and atoms, written as CIF:
```
data_Ba6SbSe3I2
_chemical_formula_sum 'Ba12 Sb2 Se6 I4'
_cell_length_a 8.4013
_cell_length_b 14.5301
_cell_length_c 8.5094
_cell_angle_alpha 90.00
_cell_angle_beta 109.19
_cell_angle_gamma 90.00
_symmetry_space_group_name_H-M 'C 1 2/m 1'
_symmetry_Int_Tables_number 12
_symmetry_space_group_name_Hall '-C 2y'
loop_
_atom_site_label
_atom_site_type_symbol
_atom_site_fract_x
_atom_site_fract_y
_atom_site_fract_z
Ba1 Ba 0.2264 0.0000 0.2276
Ba2 Ba 0.2503 0.1590 0.7739
Sb1 Sb 0.0000 0.0000 0.5000
Se1 Se 0.0000 0.1701 0.0000
Se2 Se 0.0000 0.5000 0.0000
I1 I 0.0000 0.3337 0.5000
```


Entry 2:
This record from the Alexandria database describes CaP2PbS after structural relaxation. The functional is PBE.

Output
E_form (uncorrected)   369 meV per atom
Distance to the lowest polymorph of the same formula   0.0 kJ per mole of atoms

Cell and atoms, written as CIF:
```
data_CaP2PbS
_chemical_formula_sum 'Ca1 P2 Pb1 S1'
_cell_length_a 5.1587
_cell_length_b 5.1587
_cell_length_c 5.2969
_cell_angle_alpha 90.00
_cell_angle_beta 90.00
_cell_angle_gamma 90.00
_symmetry_space_group_name_H-M 'P 4/m m m'
_symmetry_Int_Tables_number 123
_symmetry_space_group_name_Hall '-P 4 2'
loop_
_atom_site_label
_atom_site_type_symbol
_atom_site_fract_x
_atom_site_fract_y
_atom_site_fract_z
Ca1 Ca 0.0000 0.0000 0.0000
P1 P 0.0000 0.5000 0.5000
Pb1 Pb 0.5000 0.5000 0.5000
S1 S 0.5000 0.5000 0.0000
```


Entry 3:
This record from the Alexandria database describes Ba2HfFeCu after structural relaxation. The functional is PBE.

Output
E_form   1.01 eV per atom

Cell and atoms, written as CIF:
```
data_Ba2HfFeCu
_chemical_formula_sum 'Ba2 Hf1 Fe1 Cu1'
_cell_length_a 6.4876
_cell_length_b 6.4876
_cell_length_c 4.4628
_cell_angle_alpha 90.00
_cell_angle_beta 90.00
_cell_angle_gamma 90.00
_symmetry_space_group_name_H-M 'P 4/m m m'
_symmetry_Int_Tables_number 123
_symmetry_space_group_name_Hall '-P 4 2'
loop_
_atom_site_label
_atom_site_type_symbol
_atom_site_fract_x
_atom_site_fract_y
_atom_site_fract_z
Ba1 Ba 0.0000 0.5000 0.0000
Hf1 Hf 0.0000 0.0000 0.0000
Fe1 Fe 0.0000 0.0000 0.5000
Cu1 Cu 0.5000 0.5000 0.5000
```


Entry 4:
This record from the Alexandria database describes NbAlAgIr2 after structural relaxation. The functional is PBE.

Output
E_form   1.23 eV per atom

Cell and atoms, written as CIF:
```
data_NbAlAgIr2
_chemical_formula_sum 'Nb1 Al1 Ag1 Ir2'
_cell_length_a 4.7659
_cell_length_b 4.7659
_cell_length_c 4.9791
_cell_angle_alpha 90.00
_cell_angle_beta 90.00
_cell_angle_gamma 90.00
_symmetry_space_group_name_H-M 'P 4/m m m'
_symmetry_Int_Tables_number 123
_symmetry_space_group_name_Hall '-P 4 2'
loop_
_atom_site_label
_atom_site_type_symbol
_atom_site_fract_x
_atom_site_fract_y
_atom_site_fract_z
Nb1 Nb 0.0000 0.0000 0.0000
Al1 Al 0.0000 0.0000 0.5000
Ag1 Ag 0.5000 0.5000 0.5000
Ir1 Ir 0.0000 0.5000 0.0000
```


Entry 5:
This record from the Alexandria database describes Pr8SnTe4As3 after structural relaxation. The functional is PBE.

Output
E_form (uncorrected)   -1435 meV per atom

Cell and atoms, written as CIF:
```
data_Pr8SnTe4As3
_chemical_formula_sum 'Pr24 Sn3 Te12 As9'
_cell_length_a 8.8584
_cell_length_b 8.8584
_cell_length_c 22.1898
_cell_angle_alpha 90.00
_cell_angle_beta 90.00
_cell_angle_gamma 120.00
_symmetry_space_group_name_H-M 'R -3 m'
_symmetry_Int_Tables_number 166
_symmetry_space_group_name_Hall '-R 3 2"'
loop_
_atom_site_label
_atom_site_type_symbol
_atom_site_fract_x
_atom_site_fract_y
_atom_site_fract_z
Pr1 Pr 0.0000 0.0000 0.2403
Pr2 Pr 0.0074 0.5037 0.7573
Sn1 Sn 0.0000 0.0000 0.5000
Te1 Te 0.0000 0.0000 0.0000
Te2 Te 0.0000 0.5000 0.0000
As1 As 0.0000 0.5000 0.5000
```


Entry 6:
This record from the Alexandria database describes HfSn3B after structural relaxation. The functional is PBE.

Output
E_form   1.29 eV per atom
Distance to the lowest polymorph of the same formula   55.8 kJ per mole of atoms

Cell and atoms, written as CIF:
```
data_HfSn3B
_chemical_formula_sum 'Hf1 Sn3 B1'
_cell_length_a 5.5114
_cell_length_b 5.5114
_cell_length_c 5.5114
_cell_angle_alpha 90.00
_cell_angle_beta 90.00
_cell_angle_gamma 90.00
_symmetry_space_group_name_H-M 'P m -3 m'
_symmetry_Int_Tables_number 221
_symmetry_space_group_name_Hall '-P 4 2 3'
loop_
_atom_site_label
_atom_site_type_symbol
_atom_site_fract_x
_atom_site_fract_y
_atom_site_fract_z
Hf1 Hf 0.0000 0.0000 0.0000
Sn1 Sn 0.0000 0.0000 0.5000
B1 B 0.5000 0.5000 0.5000
```


The electronic total energy results, record by record, are as follows: -4.15, -3.76, -4.26, -5.65, -5.73, -4.44 eV/atom.